First-principles (PBE) data for a relaxed TiTe2AuI crystal, as listed in Alexandria.

Results
Formation energy (no corrections) in eV per atom: 0.71
Total DFT energy (no corrections) in eV/f.u.: -15.43
Space group: P4/mmm
ΔE to the lowest computed polymorph in meV/atom: 545.6

Unit cell a=5.474 b=5.474 c=5.421 alpha=90.00 beta=90.00 gamma=90.00
Atoms (fractional coordinates):
Ti 0.000 0.000 0.000
Te 0.000 0.500 0.500
Te 0.500 0.000 0.500
Au 0.500 0.500 0.500
I 0.500 0.500 0.000